Material: Ba8Rh3O
Method: DFT, PBE
State: optimized geometry

Cell: 8.866 8.861 9.013 Å, 119.67 90.00 120.02°
Fractional coordinates of all 12 atoms:
Ba: 0.254 0.508 0.764
Ba: 0.746 0.492 0.236
Ba: 0.242 0.015 0.789
Ba: 0.772 0.015 0.789
Ba: 0.773 0.545 0.789
Ba: 0.227 0.455 0.211
Ba: 0.228 0.985 0.211
Ba: 0.758 0.985 0.211
Rh: 0.500 0.000 0.000
Rh: 0.500 0.500 0.000
Rh: 0.000 0.500 0.000
O: 0.000 0.000 0.000



Material: Ba2Rh2O5
Method: DFT, PBE
State: optimized geometry

Cell: 3.956 7.397 5.853 Å, 103.74 90.00 105.51°
Fractional coordinates of all 9 atoms:
Ba: 0.375 0.750 0.696
Ba: 0.625 0.250 0.304
Rh: 0.091 0.182 0.791
Rh: 0.909 0.818 0.209
O: 0.413 0.826 0.209
O: 0.587 0.174 0.791
O: 0.181 0.362 0.599
O: 0.819 0.638 0.401
O: 0.000 0.000 0.000



In the order shown, the computed E values come out to -4.051 -6.310 eV/atom.
In the order shown, the computed magnetization values come out to 0.0 2.3 μB/f.u..